A plane-wave DFT calculation with PBE-GGA was carried out for a relaxed structure of PaSnPb2S6.

Cell: 7.1823 7.1823 18.2828 Å, 90.00 90.00 120.00°
Closest atoms and distances in Å follow each position.
Space group R3 (No. 146, hexagonal axes)
One atom of each set of equivalent atoms:
Pa  0.0000  0.0000  0.0000 x3  6 S 2.63-2.68
Sn  0.0000  0.0000  0.5032 x3  6 S 2.69-2.77
Pb  0.0000  0.0000  0.2954 x3  6 S 2.97-2.99
Pb  0.0000  0.0000  0.7918 x3  6 S 2.97-3.00
S  0.0685  0.3425  0.0741 x9  1 Pa 2.63, 1 Sn 2.77
S  0.0699  0.7130  0.5744 x9  1 Pa 2.68, 1 Sn 2.69, 2 Pb 2.97-2.99

Formation energy without anion corrections: -807 meV/atom